Record 1
Compound: Hg2IrOs
Source: the Alexandria database
Functional: GGA-PBE
Structure: optimized geometry

a = 4.689 Å, b = 4.689 Å, c = 3.173 Å
α = 90.00°, β = 90.00°, γ = 90.00°
Element x y z (fractional)
Hg (0.000, 0.000, 0.000)
Hg (0.500, 0.500, 0.000)
Ir (0.500, 0.000, 0.500)
Os (0.000, 0.500, 0.500)

space group = P4/mmm
calculated total energy = -4.1659 eV per atom
distance to the lowest polymorph of the same formula = 586.3 meV/atom
E_form = 97 kJ/mol of atoms


Record 2
Compound: CaTmAlHg
Source: the Alexandria database
Functional: GGA-PBE
Structure: optimized geometry

a = 5.211 Å, b = 5.211 Å, c = 5.211 Å
α = 60.00°, β = 60.00°, γ = 60.00°
Element x y z (fractional)
Ca (0.250, 0.250, 0.250)
Tm (0.750, 0.750, 0.750)
Hg (0.500, 0.500, 0.500)
Al (0.000, 0.000, 0.000)

space group = F-43m
calculated total energy = -3.0027 eV per atom
E_form = -36 kJ/mol of atoms


Record 3
Compound: Eu3Au5I12
Source: the Alexandria database
Functional: GGA-PBE
Structure: optimized geometry

a = 15.739 Å, b = 15.739 Å, c = 15.739 Å
α = 109.47°, β = 109.47°, γ = 109.47°
Element x y z (fractional)
Eu (0.750, 0.375, 0.125)
Eu (0.875, 0.750, 0.125)
Eu (0.375, 0.750, 0.625)
Eu (0.250, 0.125, 0.375)
Eu (0.875, 0.125, 0.250)
Eu (0.375, 0.625, 0.250)
Eu (0.625, 0.375, 0.750)
Eu (0.125, 0.875, 0.750)
Eu (0.750, 0.875, 0.625)
Eu (0.625, 0.250, 0.375)
Eu (0.125, 0.250, 0.875)
Eu (0.250, 0.625, 0.875)
Au (0.125, 0.375, 0.250)
Au (0.000, 0.500, 0.000)
Au (0.000, 0.000, 0.000)
Au (0.375, 0.250, 0.125)
Au (0.500, 0.000, 0.500)
Au (0.500, 0.500, 0.000)
Au (0.125, 0.750, 0.375)
Au (0.750, 0.125, 0.875)
Au (0.750, 0.625, 0.375)
Au (0.375, 0.125, 0.750)
Au (0.625, 0.875, 0.250)
Au (0.500, 0.500, 0.500)
Au (0.500, 0.000, 0.000)
Au (0.000, 0.000, 0.500)
Au (0.250, 0.375, 0.625)
Au (0.250, 0.875, 0.125)
Au (0.000, 0.500, 0.500)
Au (0.875, 0.250, 0.625)
Au (0.625, 0.750, 0.875)
Au (0.875, 0.625, 0.750)
I (0.713, 0.125, 0.037)
I (0.324, 0.537, 0.411)
I (0.963, 0.375, 0.287)
I (0.537, 0.213, 0.125)
I (0.588, 0.713, 0.676)
I (0.963, 0.589, 0.176)
I (0.324, 0.787, 0.412)
I (0.089, 0.912, 0.125)
I (0.589, 0.963, 0.676)
I (0.713, 0.588, 0.176)
I (0.787, 0.463, 0.375)
I (0.824, 0.911, 0.037)
I (0.125, 0.713, 0.537)
I (0.375, 0.411, 0.088)
I (0.088, 0.911, 0.375)
I (0.412, 0.125, 0.589)
I (0.088, 0.176, 0.213)
I (0.463, 0.676, 0.089)
I (0.824, 0.912, 0.287)
I (0.125, 0.412, 0.089)
I (0.375, 0.963, 0.787)
I (0.589, 0.625, 0.412)
I (0.911, 0.824, 0.537)
I (0.787, 0.324, 0.912)
I (0.411, 0.375, 0.588)
I (0.089, 0.176, 0.463)
I (0.213, 0.676, 0.088)
I (0.176, 0.088, 0.713)
I (0.625, 0.037, 0.213)
I (0.875, 0.588, 0.911)
I (0.537, 0.324, 0.911)
I (0.588, 0.875, 0.411)
I (0.912, 0.824, 0.787)
I (0.912, 0.089, 0.625)
I (0.875, 0.287, 0.463)
I (0.176, 0.089, 0.963)
I (0.625, 0.589, 0.912)
I (0.411, 0.037, 0.324)
I (0.287, 0.412, 0.824)
I (0.213, 0.537, 0.625)
I (0.911, 0.088, 0.875)
I (0.676, 0.213, 0.588)
I (0.463, 0.787, 0.875)
I (0.037, 0.411, 0.824)
I (0.412, 0.287, 0.324)
I (0.037, 0.625, 0.713)
I (0.676, 0.463, 0.589)
I (0.287, 0.875, 0.963)

space group = Ia-3d
ΔE_f (raw) = -0.6428 eV/atom
calculated total energy = -3.9334 eV per atom


Number 1: spin magnetization 0.230 μB/atom. Number 2: spin magnetization 0.000 μB/atom. Number 3: spin magnetization 1.016 μB/atom.